RbTbHgTe3: relaxed, PBE.

Output
formation energy from raw total energies: -0.958 eV per atom
size of the total moment: 0.00 μB per formula unit

Unit cell a=9.689 b=4.546 c=11.036 alpha=90.00 beta=109.04 gamma=90.00
Space group P2_1/m (No. 11)
Inequivalent atoms, fractional coordinates:
1 Rb 0.222 0.250 0.255 [2 per cell]
2 Tb 0.326 0.750 0.863 [2 per cell]
3 Hg 0.087 0.250 0.615 [2 per cell]
4 Te 0.103 0.250 0.874 [2 per cell]
5 Te 0.236 0.750 0.550 [2 per cell]
6 Te 0.464 0.750 0.155 [2 per cell]